Entry from Alexandria: crystalline SrPN3 at its relaxed geometry (PBE).

```
5
Lattice="4.803 0.000 0.000 0.000 4.803 0.000 0.000 0.000 4.803" Properties=species:S:1:pos:R:3 pbc="T T T"
Sr 0.000 0.000 0.000
P 2.401 2.401 2.401
N 0.000 0.000 2.401
N 0.000 2.401 0.000
N 2.401 0.000 0.000
```

Summary:
volume: 110.8 Å³ per cell
formation energy from raw total energies: 2.5598 eV/atom
space-group type: Pm-3m (221)
final energy: -3.8538 eV/atom

Entry from Alexandria: crystalline BaSm2Gd at its relaxed geometry (PBE).

```
4
Lattice="3.760 0.000 0.000 0.000 3.760 0.000 0.000 0.000 10.823" Properties=species:S:1:pos:R:3 pbc="T T T"
Ba 0.000 0.000 0.000
Sm 1.880 1.880 3.054
Sm 1.880 1.880 7.768
Gd 0.000 0.000 5.411
```

Summary:
volume: 153.0 Å³ per cell
space-group type: P4/mmm (123)
final energy: -6.2297 eV/atom

Entry from Alexandria: crystalline EuErZnCo at its relaxed geometry (PBE).

```
4
Lattice="0.000 3.497 3.497 3.497 0.000 3.497 3.497 3.497 0.000" Properties=species:S:1:pos:R:3 pbc="T T T"
Eu 0.000 0.000 0.000
Er 3.497 3.497 3.497
Zn 1.748 1.748 1.748
Co 5.245 5.245 5.245
```

Summary:
volume: 85.5 Å³ per cell
space-group type: F-43m (216)
final energy: -5.8587 eV/atom

Entry from Alexandria: crystalline LaPm5Ge2 at its relaxed geometry (PBE).

```
8
Lattice="-2.292 4.784 5.543 2.292 -4.784 5.543 2.292 4.784 -5.543" Properties=species:S:1:pos:R:3 pbc="T T T"
La 0.000 0.000 0.000
Pm 2.292 2.981 -1.775
Pm 2.292 2.981 1.775
Pm 0.000 4.784 0.000
Pm 0.000 1.804 3.768
Pm 0.000 1.804 7.318
Ge 2.292 0.000 2.357
Ge 0.000 4.784 3.186
```

Summary:
volume: 243.1 Å³ per cell
space-group type: Immm (71)
final energy: -5.0953 eV/atom